No. 1
Below is crystalline Zr2ScRuPb at its relaxed geometry, with properties calculated at the PBE level.

Cell lengths 5.3721, 4.9893, 5.3721 Å; angles 90.00, 90.00, 90.00 degrees
Site moments in Bohr magnetons follow the coordinates.
Positions (direct):
Zr: 0.5000 0.0000 0.0000  0.25
Zr: 0.0000 0.0000 0.5000  0.28
Ru: 0.0000 0.5000 0.0000  -0.16
Pb: 0.0000 0.0000 0.0000  0.01
Sc: 0.5000 0.5000 0.5000  0.38

Output
Formation energy, eV per atom: 1.208
V, Å³/atom: 28.8


No. 2
Below is crystalline Ru4PbSe at its relaxed geometry, with properties calculated at the PBE level.

Cell lengths 5.2922, 5.2922, 5.2922 Å; angles 60.00, 60.00, 60.00 degrees
Site moments in Bohr magnetons follow the coordinates.
Positions (direct):
Se: 0.7500 0.7500 0.7500  0.06
Pb: 0.0000 0.0000 0.0000  0.03
Ru: 0.3762 0.8713 0.3762  1.05
Ru: 0.3762 0.3762 0.8713  1.05
Ru: 0.3762 0.3762 0.3762  1.05
Ru: 0.8713 0.3762 0.3762  1.05

Output
V, Å³/atom: 17.5
Formation energy (no corrections), eV per atom: 0.7795


No. 3
Below is crystalline RuPbSe2 at its relaxed geometry, with properties calculated at the PBE level.

Cell lengths 3.7942, 4.9061, 5.3609 Å; angles 64.06, 90.00, 90.00 degrees
Positions (direct):
Se: 0.0000 0.9649 0.9092
Se: 0.0000 0.5351 0.5908
Pb: 0.5000 0.2500 0.2500
Ru: 0.5000 0.7500 0.7500

Output
V, Å³/atom: 22.4
Formation energy (no corrections), eV per atom: -0.1216


No. 4
Below is crystalline RuPbSe2 at its relaxed geometry, with properties calculated at the PBE level.

Cell lengths 4.8700, 4.8700, 4.8700 Å; angles 60.00, 60.00, 60.00 degrees
Site moments in Bohr magnetons follow the coordinates.
Positions (direct):
Ru: 0.7500 0.7500 0.7500  1.00
Se: 0.0000 0.0000 0.0000  -0.01
Se: 0.2500 0.2500 0.2500  0.10
Pb: 0.5000 0.5000 0.5000  0.00

Output
V, Å³/atom: 20.4
Formation energy (no corrections), eV per atom: 0.6622